Entry 1:
# BSbHPt2 GGA-PBE optimized geometry
data_BSbHPt2
_chemical_formula_sum 'B1 Sb1 H1 Pt2'
_cell_length_a 4.5191
_cell_length_b 4.5191
_cell_length_c 3.3026
_cell_angle_alpha 90.00
_cell_angle_beta 90.00
_cell_angle_gamma 90.00
_space_group_name_H-M_alt 'P 4/m m m'
_space_group_IT_number 123
_space_group_name_Hall '-P 4 2'
loop_
_atom_site_label
_atom_site_type_symbol
_atom_site_fract_x
_atom_site_fract_y
_atom_site_fract_z
B1 B 0.0000 0.0000 0.0000
Sb1 Sb 0.5000 0.5000 0.5000
H1 H 0.0000 0.0000 0.5000
Pt1 Pt 0.0000 0.5000 0.0000
# Theoretical density, g/cm³: 12.9
# Total energy, eV per atom: -5.0375
# Magnetic moment, μB/cell: 0.00
# DOS(E_F), states/eV per atom: 0.3079


Entry 2:
# LiHgPd6 GGA-PBE optimized geometry
data_LiHgPd6
_chemical_formula_sum 'Li1 Hg1 Pd6'
_cell_length_a 5.6473
_cell_length_b 5.6473
_cell_length_c 3.9477
_cell_angle_alpha 90.00
_cell_angle_beta 90.00
_cell_angle_gamma 90.00
_space_group_name_H-M_alt 'P 4/m m m'
_space_group_IT_number 123
_space_group_name_Hall '-P 4 2'
loop_
_atom_site_label
_atom_site_type_symbol
_atom_site_fract_x
_atom_site_fract_y
_atom_site_fract_z
Li1 Li 0.0000 0.0000 0.0000
Hg1 Hg 0.5000 0.5000 0.0000
Pd1 Pd 0.0000 0.5000 0.0000
Pd2 Pd 0.2435 0.2435 0.5000
# Theoretical density, g/cm³: 11.2
# Total energy, eV per atom: -4.3350
# Calculated formation energy, eV/atom: -0.163
# Magnetic moment, μB/cell: 0.00
# DOS(E_F), states/eV per atom: 1.2358


Entry 3:
# CsSiAu4 GGA-PBE optimized geometry
data_CsSiAu4
_chemical_formula_sum 'Cs4 Si4 Au16'
_cell_length_a 12.4001
_cell_length_b 6.7677
_cell_length_c 7.0931
_cell_angle_alpha 90.00
_cell_angle_beta 94.86
_cell_angle_gamma 90.00
_space_group_name_H-M_alt 'C 1 2/m 1'
_space_group_IT_number 12
loop_
_space_group_symop_operation_xyz
'x,y,z'
'-x,-y,-z'
'-x,y,-z'
'x,-y,z'
'x+1/2,y+1/2,z'
'-x+1/2,-y+1/2,-z'
'-x+1/2,y+1/2,-z'
'x+1/2,-y+1/2,z'
loop_
_atom_site_label
_atom_site_type_symbol
_atom_site_fract_x
_atom_site_fract_y
_atom_site_fract_z
Cs1 Cs 0.2112 0.0000 0.3523
Si1 Si 0.0318 0.5000 0.2021
Au1 Au 0.0000 0.2877 0.5000
Au2 Au 0.0852 0.2062 0.8686
Au3 Au 0.2190 0.5000 0.1320
# Theoretical density, g/cm³: 10.6
# Total energy, eV per atom: -3.3832
# Magnetic moment, μB/cell: 0.00
# ΔE_f (raw), eV per atom: -0.15
# DOS(E_F), states/eV per atom: 0.1729


Entry 4:
# Tl2Cd8Hg3 GGA-PBE optimized geometry
data_Tl2Cd8Hg3
_chemical_formula_sum 'Tl6 Cd24 Hg9'
_cell_length_a 5.8667
_cell_length_b 5.8667
_cell_length_c 34.8820
_cell_angle_alpha 90.00
_cell_angle_beta 90.00
_cell_angle_gamma 120.00
_space_group_name_H-M_alt 'R -3 m'
_space_group_IT_number 166
_space_group_name_Hall '-R 3 2"'
loop_
_atom_site_label
_atom_site_type_symbol
_atom_site_fract_x
_atom_site_fract_y
_atom_site_fract_z
Tl1 Tl 0.0000 0.0000 0.1484
Cd1 Cd 0.0000 0.0000 0.2350
Cd2 Cd 0.9996 0.4998 0.2674
Hg1 Hg 0.0000 0.0000 0.3228
Hg2 Hg 0.0000 0.0000 0.5000
# Theoretical density, g/cm³: 9.2
# Total energy, eV per atom: -0.9280
# Calculated formation energy, eV/atom: 0.069
# Magnetic moment, μB/cell: 0.00
# DOS(E_F), states/eV per atom: 0.3977


Entry 5:
# ZnHPdPt2 GGA-PBE optimized geometry
data_ZnHPdPt2
_chemical_formula_sum 'Zn1 H1 Pd1 Pt2'
_cell_length_a 3.8936
_cell_length_b 3.8936
_cell_length_c 4.2076
_cell_angle_alpha 90.00
_cell_angle_beta 90.00
_cell_angle_gamma 90.00
_space_group_name_H-M_alt 'P 4/m m m'
_space_group_IT_number 123
_space_group_name_Hall '-P 4 2'
loop_
_atom_site_label
_atom_site_type_symbol
_atom_site_fract_x
_atom_site_fract_y
_atom_site_fract_z
Zn1 Zn 0.0000 0.0000 0.0000
H1 H 0.0000 0.0000 0.5000
Pd1 Pd 0.5000 0.5000 0.0000
Pt1 Pt 0.0000 0.5000 0.5000
# Theoretical density, g/cm³: 14.7
# Total energy, eV per atom: -4.5429
# Magnetic moment, μB/cell: 0.00
# DOS(E_F), states/eV per atom: 0.8603


Entry 6:
# SiPH2 GGA-PBE optimized geometry
data_SiPH2
_chemical_formula_sum 'Si4 P4 H8'
_cell_length_a 5.1465
_cell_length_b 5.1465
_cell_length_c 5.1465
_cell_angle_alpha 90.00
_cell_angle_beta 90.00
_cell_angle_gamma 90.00
_space_group_name_H-M_alt 'F m -3 m'
_space_group_IT_number 225
_space_group_name_Hall '-F 4 2 3'
loop_
_atom_site_label
_atom_site_type_symbol
_atom_site_fract_x
_atom_site_fract_y
_atom_site_fract_z
Si1 Si 0.0000 0.0000 0.0000
P1 P 0.0000 0.0000 0.5000
H1 H 0.2500 0.2500 0.2500
# Theoretical density, g/cm³: 3.0
# Total energy, eV per atom: -3.6051
# Magnetic moment, μB/cell: 0.00
# DOS(E_F), states/eV per atom: 0.3500